Ag2HgI2Br2: optimized geometry, PBE-GGA.

Computed properties:
* calculated volume: 255.4 Å³/cell
* VASP energy: -2.11 eV/atom
* space-group type: No. 1

a = 6.294 Å, b = 6.344 Å, c = 7.719 Å
α = 113.18°, β = 113.40°, γ = 90.12°
Fractional coordinates of all 7 atoms:
Ag: 0.502 0.496 0.001
Ag: 0.759 0.251 0.500
Br: 0.884 0.376 0.247
Br: 0.132 0.126 0.752
Hg: 0.001 0.996 0.999
I: 0.372 0.869 0.272
I: 0.600 0.635 0.729